DFT (PBE with a Hubbard U) results for crystalline ZrCoN2O at its relaxed geometry.

a = 4.2326 Å, b = 4.2326 Å, c = 4.1073 Å
α = 90.00°, β = 90.00°, γ = 90.00°
Closest atoms and distances in Å follow each position.
Fractional positions:
Zr1 0.0000 0.0000 0.0000  2 O 2.05, 4 N 2.12
N1 0.5000 0.0000 0.0000  2 Zr 2.12
N2 0.0000 0.5000 0.0000  2 Zr 2.12
O1 0.0000 0.0000 0.5000  2 Zr 2.05
Co1 0.5000 0.5000 0.5000  8 N 2.95, 4 O 2.99

Calculated values
space-group type: P4/mmm
raw total energy: -6.85 eV per atom